Entry from Alexandria via LeMat-Bulk: a geometry-optimized MgInSb2 structure (PBE).

Structure (POSCAR):
```
MgInSb2
1.0
-1.748 -5.423 -0.888
1.775 -5.313 -1.368
0.763 -2.715 4.973
Sb In Mg
2 1 1
Cartesian
0.369 -6.763 1.158
0.053 -10.699 -2.056
0.592 -10.089 2.037
0.197 -3.363 0.679
```

VASP energy (eV per cell): -12.5
Formation energy without anion corrections (meV/atom): 19
Calculated density (g/cm3): 5.95
Fermi-level density of states (states/eV per cell): 1.55

Entry from Alexandria via LeMat-Bulk: a geometry-optimized Zn2SnPd7 structure (PBE).

Structure (POSCAR):
```
Zn2SnPd7
1.0
-4.278 -0.714 0.321
0.998 -6.856 -1.954
0.243 1.689 6.994
Pd Sn Zn
7 1 2
Cartesian
0.840 -5.060 -0.073
-1.823 -2.283 0.083
-1.994 -0.349 2.109
-1.213 -3.599 5.278
0.402 -0.107 5.113
-1.042 -5.533 3.253
-1.518 -2.941 2.681
0.000 0.000 0.000
-1.668 -1.238 4.464
-1.367 -4.644 0.898
```

VASP energy (eV per cell): -42.6
Calculated density (g/cm3): 8.36
Fermi-level density of states (states/eV per cell): 5.96
Energy relative to the elements (eV/f.u.): 0.32

Entry from Alexandria via LeMat-Bulk: a geometry-optimized Na4Hg5Bi2 structure (PBE).

Structure (POSCAR):
```
Na4Hg5Bi2
1.0
3.606 0.000 0.000
0.000 9.013 -2.351
0.000 -2.254 9.911
Hg Na Bi
5 4 2
Cartesian
0.000 0.437 1.462
0.000 3.489 1.948
0.000 6.322 6.099
0.000 4.507 -1.175
0.000 3.270 5.612
1.803 1.228 3.931
1.803 -0.221 9.331
1.803 6.980 -1.770
1.803 5.531 3.629
0.000 7.018 1.213
0.000 -0.259 6.348
```

VASP energy (eV per cell): -16.7
Calculated density (g/cm3): 8.29
Fermi-level density of states (states/eV per cell): 4.31
Energy relative to the elements (eV/f.u.): -2.20

Entry from Alexandria via LeMat-Bulk: a geometry-optimized PuGa2Pt5 structure (PBE).

Structure (POSCAR):
```
PuGa2Pt5
1.0
-2.035 -1.647 2.885
1.460 -6.323 0.049
4.190 -1.522 4.716
Pt Ga Pu
5 2 1
Cartesian
1.274 -2.918 4.493
3.431 -4.658 5.021
2.825 -3.923 2.383
0.184 -4.835 2.629
2.341 -6.575 3.157
2.700 -7.111 5.735
0.915 -2.382 1.915
0.000 0.000 0.000
```

VASP energy (eV per cell): -55.6
Calculated density (g/cm3): 15.94
Fermi-level density of states (states/eV per cell): 15.30
Energy relative to the elements (eV/f.u.): -5.04

Entry from Alexandria via LeMat-Bulk: a geometry-optimized Pm2Te2F structure (PBE).

Structure (POSCAR):
```
Pm2Te2F
1.0
4.190 0.000 -0.643
-0.099 4.189 -0.643
0.586 0.600 17.794
Pm Te F
4 4 2
Cartesian
3.177 3.253 6.729
4.543 2.506 15.626
2.280 0.189 0.882
1.501 1.537 9.779
0.307 2.460 2.003
2.226 4.424 14.505
0.959 0.982 6.251
3.719 3.807 10.256
2.046 2.095 -0.643
3.411 1.347 8.254
```

VASP energy (eV per cell): -54.8
Formation energy without anion corrections (meV/atom): -1950
Calculated density (g/cm3): 5.94
Fermi-level density of states (states/eV per cell): 3.88

Entry from Alexandria via LeMat-Bulk: a geometry-optimized K6CaBr8 structure (PBE).

Structure (POSCAR):
```
K6CaBr8
1.0
8.176 0.243 2.814
2.084 7.909 2.814
0.306 0.243 8.641
K Br Ca
6 8 1
Cartesian
5.429 5.633 3.838
1.711 4.016 7.541
8.854 4.379 6.728
5.959 0.760 6.312
4.606 7.635 7.957
5.136 2.762 10.432
2.637 6.709 5.424
3.597 2.858 4.858
7.534 2.788 4.105
7.928 1.686 8.846
3.031 5.607 10.165
7.459 7.342 5.865
6.968 5.537 9.412
3.106 1.053 8.404
0.000 0.000 0.000
```

VASP energy (eV per cell): -48.6
Formation energy without anion corrections (meV/atom): -1778
Calculated density (g/cm3): 2.79
Fermi-level density of states (states/eV per cell): 0.00

Entry from Alexandria via LeMat-Bulk: a geometry-optimized Dy3ThTl4 structure (PBE).

Structure (POSCAR):
```
Dy3ThTl4
1.0
-4.012 -0.585 -3.790
1.082 -7.286 -0.021
-7.362 -1.116 7.966
Tl Dy Th
8 6 2
Cartesian
-4.985 -6.410 5.690
-4.865 -6.385 2.072
-1.746 -2.044 -1.900
-5.308 -2.578 -1.535
-5.427 -2.602 2.083
-1.184 -5.827 -1.911
-4.747 -6.353 -1.546
-5.545 -2.634 5.701
-7.791 -1.168 3.831
-3.681 -0.558 3.983
-3.055 -4.178 0.322
0.000 0.000 0.000
-7.237 -4.809 3.833
-3.583 -0.533 0.346
-3.140 -4.201 3.973
0.541 -3.643 -0.011
```

VASP energy (eV per cell): -65.7
Calculated density (g/cm3): 11.45
Fermi-level density of states (states/eV per cell): 7.87
Energy relative to the elements (eV/f.u.): -2.15

Entry from Alexandria via LeMat-Bulk: a geometry-optimized SrLi2TlC structure (PBE).

Structure (POSCAR):
```
SrLi2TlC
1.0
-3.430 1.804 3.182
-2.064 -4.171 0.140
2.905 -1.307 3.873
C Tl Sr Li
1 1 1 2
Cartesian
-1.032 -2.085 0.070
0.000 0.000 0.000
-1.295 -1.837 3.597
-1.715 0.902 1.591
1.452 -0.653 1.936
```

VASP energy (eV per cell): -13.0
Calculated density (g/cm3): 4.51
Fermi-level density of states (states/eV per cell): 2.04
Energy relative to the elements (eV/f.u.): 4.06